#P
A relaxed structure of BaTa3Zn, computed with PBE.

Properties
Size of the total moment   0.00 μB/cell

a = 5.074 Å, b = 5.074 Å, c = 5.074 Å
α = 90.00°, β = 90.00°, γ = 90.00°
Space group Pm-3m (No. 221)
Unique sites:
Ba (0.000, 0.000, 0.000)
Ta (0.000, 0.000, 0.500)
Zn (0.500, 0.500, 0.500)

***

#Q
A relaxed structure of BaTa3Zn, computed with PBE.

Properties
Size of the total moment   2.37 μB/cell

a = 4.965 Å, b = 4.965 Å, c = 4.965 Å
α = 90.00°, β = 90.00°, γ = 90.00°
Space group Pm-3m (No. 221)
Unique sites:
Ba (0.000, 0.000, 0.000)
Ta (0.000, 0.500, 0.500)
Zn (0.500, 0.500, 0.500)

***

It comes down to #Q, which is 1.436 eV/atom more stable than the next structure.

***

#P
A relaxed structure of BaTaZn2, computed with PBE.

Properties
Size of the total moment   11.14 μB/cell

a = 7.217 Å, b = 7.217 Å, c = 7.217 Å
α = 90.00°, β = 90.00°, γ = 90.00°
Space group F-43m (No. 216)
Unique sites:
Ba (0.000, 0.000, 0.000)
Ta (0.250, 0.250, 0.750)
Zn (0.000, 0.000, 0.500)
Zn (0.250, 0.250, 0.250)

***

#Q
A relaxed structure of BaTaZn2, computed with PBE.

Properties
Size of the total moment   0.00 μB/cell

a = 7.165 Å, b = 7.165 Å, c = 7.165 Å
α = 90.00°, β = 90.00°, γ = 90.00°
Space group Fm-3m (No. 225)
Unique sites:
Ba (0.000, 0.000, 0.000)
Ta (0.000, 0.000, 0.500)
Zn (0.250, 0.250, 0.250)

***

#R
A relaxed structure of BaTaZn2, computed with PBE.

Properties
Size of the total moment   0.00 μB/cell

a = 3.061 Å, b = 5.472 Å, c = 10.593 Å
α = 90.00°, β = 90.00°, γ = 90.00°
Space group Imm2 (No. 44)
Unique sites:
Ba (0.000, 0.000, 0.000)
Ta (0.000, 0.500, 0.789)
Zn (0.000, 0.000, 0.511)
Zn (0.000, 0.500, 0.223)

***

It comes down to #R, which is 0.099 eV/atom more stable than the next structure.

***

#P
A relaxed structure of BaTaZn2, computed with PBE.

Properties
Size of the total moment   1.52 μB/cell

a = 9.877 Å, b = 3.121 Å, c = 6.418 Å
α = 90.00°, β = 101.88°, γ = 90.00°
Space group Cm (No. 8)
Unique sites:
Ba (0.000, 0.000, 0.000)
Ta (0.211, 0.000, 0.624)
Zn (0.267, 0.500, 0.310)
Zn (0.474, 0.000, 0.524)

***

#Q
A relaxed structure of BaTaZn2, computed with PBE.

Properties
Size of the total moment   0.00 μB/cell

a = 3.2796 Å, b = 3.2796 Å, c = 28.9495 Å
α = 90.00°, β = 90.00°, γ = 120.00°
Space group R-3m (No. 166, hexagonal axes)
Unique sites:
Ba (0.0000, 0.0000, 0.0000)
Ta (0.0000, 0.0000, 0.5000)
Zn (0.0000, 0.0000, 0.2361)

***

#R
A relaxed structure of BaTaZn2, computed with PBE.

Properties
Size of the total moment   0.00 μB/cell

a = 3.2338 Å, b = 3.2338 Å, c = 29.7157 Å
α = 90.00°, β = 90.00°, γ = 120.00°
Space group R3m (No. 160, hexagonal axes)
Unique sites:
Ba (0.0000, 0.0000, 0.0000)
Ta (0.0000, 0.0000, 0.2303)
Zn (0.0000, 0.0000, 0.4936)
Zn (0.0000, 0.0000, 0.7643)

***

#S
A relaxed structure of BaTaZn2, computed with PBE.

Properties
Size of the total moment   1.83 μB/cell

a = 4.314 Å, b = 4.314 Å, c = 9.938 Å
α = 90.00°, β = 90.00°, γ = 90.00°
Space group I-4m2 (No. 119)
Unique sites:
Ba (0.000, 0.000, 0.000)
Ta (0.000, 0.500, 0.750)
Zn (0.000, 0.000, 0.500)
Zn (0.000, 0.500, 0.250)

***

It comes down to #Q, which is 0.026 eV/atom more stable than the next structure.